DFT (GGA-PBE) results for a geometry-optimized ScSi2Ge structure.

The density of states at the Fermi level comes out at 0.377 states/eV/atom. The raw formation energy is -0.1975 eV per atom. The crystal system is tetragonal.

The space group is P4/mmm (No. 123) and the conventional cell measures 3.975, 3.975 and 4.221 Å, with angles of 90.00, 90.00 and 90.00 degrees. The asymmetric unit holds Sc at (0.000, 0.000, 0.000), Si at (0.000, 0.500, 0.500) and Ge at (0.500, 0.500, 0.000).

DFT (GGA-PBE) results for a geometry-optimized Ho2ZrSi2Rh5 structure.

The density of states at the Fermi level comes out at 0.193 states/eV/atom. The raw formation energy is -1.0069 eV per atom. The crystal system is tetragonal.

The space group is P4/mbm (No. 127) and the conventional cell measures 9.764, 9.764 and 3.566 Å, with angles of 90.00, 90.00 and 90.00 degrees. The asymmetric unit holds Ho at (0.174, 0.326, 0.000), Zr at (0.000, 0.000, 0.000), Si at (0.122, 0.622, 0.000), Rh at (0.000, 0.500, 0.500) and Rh at (0.070, 0.785, 0.500).